DFT (PBE) results for an optimized crystal structure of Pm6Pb3Se.

Lattice parameters (Å, degrees): 11.9872 4.0180 13.7872 90.00 107.76 90.00
Last column: nearest neighbours and their distance in Å.
Space group P2_1/m (No. 11)
Unique sites:
Pm: 0.0045 0.2500 0.3443  4 Pb 3.16-3.47
Pm: 0.1073 0.2500 0.9082  4 Pb 3.18-3.28
Pm: 0.2521 0.7500 0.3270  2 Se 3.05, 3 Pb 3.17-3.26, 1 Pm 3.31
Pm: 0.3345 0.7500 0.7685  3 Pb 3.24-3.30, 1 Se 3.28
Pm: 0.3713 0.7500 0.1400  2 Se 3.10, 2 Pb 3.24, 1 Pm 3.31
Pm: 0.3996 0.2500 0.5528  2 Se 2.95, 2 Pb 3.31
Pb: 0.1191 0.2500 0.1417  6 Pm 3.18-3.47
Pb: 0.1734 0.7500 0.5268  7 Pm 3.16-3.37
Pb: 0.3936 0.2500 0.9621  2 Pb 3.16, 6 Pm 3.24-3.51
Se: 0.4410 0.2500 0.3201  7 Pm 2.95-3.28

Computed properties:
- formation energy without anion corrections (eV/atom) = -0.57